# Cd3Ga5I12

A relaxed Cd3Ga5I12 crystal (PBE-GGA, the Alexandria database).

- E_tot: -2.09 eV per atom
- Calculated volume: 3485.9 Å³ per cell
- Formation energy from raw total energies: -6.17 kcal/mol of atoms

```
Cd3Ga5I12
1.0
-2.1969 -2.1381 16.2577
-7.0310 -12.5253 -8.2093
16.1921 0.4040 -3.3707
Cd I Ga
12 48 20
Cartesian
8.1344 -5.7303 4.5545
-2.2603 -6.2501 8.6934
5.7173 -10.9239 -7.6789
2.3202 -12.3107 2.9034
4.0230 -9.9432 -2.1670
2.9412 -4.3161 6.8447
9.2245 -8.0093 -4.0157
-5.1716 -11.2143 7.6472
4.6439 -1.9487 1.7742
1.2468 -3.3355 12.3566
-1.1702 -8.5291 0.1232
12.1357 -3.0451 -2.9695
3.1289 -13.3136 -0.7162
6.6977 -3.9857 7.5804
9.5227 -5.2474 -1.3616
4.9840 -9.9992 1.5525
-1.9986 -5.8178 2.6185
-3.4910 -12.8231 4.6721
3.0641 -9.0285 -5.7733
11.6292 -2.8665 10.8307
10.0678 -4.7480 -5.7235
-0.3272 -11.3634 -7.0226
6.1972 -2.5371 -1.6902
7.2914 -2.8960 11.7003
10.4551 -1.4362 0.0056
0.7670 -11.7223 6.3679
7.7773 -10.4715 -1.5446
0.7869 -8.8151 3.3406
8.9627 -8.4416 2.0592
2.0628 -1.4326 9.1201
0.2665 -10.2737 -2.9027
4.7423 -7.3139 5.4188
-3.1036 -9.5113 10.4012
-0.3039 -6.8174 11.8738
14.7933 -1.2606 -0.8447
-2.5585 -9.0119 6.0392
8.0064 -2.0404 3.4916
-1.0422 -12.2190 1.1861
-1.4532 -5.1722 -1.7243
2.2219 -6.9454 -0.7412
1.1246 -7.5722 7.4460
-2.1149 -2.9625 10.6764
7.2681 -7.4420 -7.1961
3.9001 -5.2309 10.4510
9.0791 -11.2969 -5.9987
1.8854 -2.6560 -0.7065
10.6998 -5.0496 7.2414
-4.6650 -11.3929 -6.1530
-3.7356 -9.2097 -2.5637
4.9014 -12.8267 -4.4424
11.3715 -4.4796 2.9058
-0.8131 -3.7878 6.2222
6.1773 -5.4443 1.3371
8.4173 -9.0871 6.4020
5.8396 -6.6872 -2.7683
5.0788 -11.6033 5.3841
1.9802 -4.2602 3.1252
3.8352 -0.9458 5.3939
-7.8291 -12.9987 5.5224
-4.4073 -9.7797 1.7719
-0.5576 -3.8826 3.6230
6.9342 -4.9790 -1.1208
11.6415 -2.8157 8.2177
0.0300 -9.2804 5.7984
-4.6774 -11.4436 -3.5400
10.4414 -2.0644 2.5424
0.0000 0.0000 0.0000
-1.0985 -1.0691 8.1288
-3.5155 -6.2626 -4.1046
5.8274 -9.3961 6.5666
-3.4772 -12.1949 2.1352
0.5242 -9.5097 -5.3888
3.4821 -7.1297 2.3388
6.4400 -4.7497 10.0664
7.5218 -10.3768 1.0547
6.9976 -0.8670 6.4435
-4.6140 -7.3317 4.0242
8.0961 0.2020 -1.6854
1.1368 -4.8632 -1.8889
4.5805 -6.0606 -5.7900
```